A plane-wave DFT calculation with PBE-GGA was carried out for a relaxed MnGaSi2 crystal.

## Properties
- DOS at the Fermi energy: 2.179 states/eV/f.u.
- Total magnetic moment: 4.570 μB per cell
- Energy relative to the elements, uncorrected: 310.3 meV per atom
- Symmetry: I-42d

abc: 7.2070 7.2070 5.6621
angles: 50.47 50.47 90.00
Closest atoms and distances in Å follow each position.
Sites, in units of the cell vectors:
Mn 0.2500 0.7500 0.5000  4 Si 2.42, 2 Ga 2.47
Mn 0.5000 0.5000 0.0000  4 Si 2.42, 2 Ga 2.47
Si 0.1673 0.6250 0.2500  2 Mn 2.42, 2 Si 2.54
Si 0.5827 0.1250 0.2500  2 Mn 2.42, 2 Si 2.54
Si 0.3750 0.4173 0.7500  2 Mn 2.42, 2 Si 2.54
Si 0.8750 0.8327 0.7500  2 Mn 2.42, 2 Si 2.54
Ga 0.7500 0.2500 0.5000  2 Mn 2.47
Ga 0.0000 0.0000 0.0000  2 Mn 2.47



A plane-wave DFT calculation with PBE-GGA was carried out for a relaxed BaZn3Cl crystal.

## Properties
- DOS at the Fermi energy: 3.145 states/eV/f.u.
- Total magnetic moment: 0.000 μB per cell
- Energy relative to the elements, uncorrected: 401.4 meV per atom
- Symmetry: Pm-3m

abc: 6.6483 6.6483 6.6483
angles: 90.00 90.00 90.00
Closest atoms and distances in Å follow each position.
Sites, in units of the cell vectors:
Zn 0.0000 0.0000 0.5000  2 Ba 3.32
Zn 0.0000 0.5000 0.0000  2 Ba 3.32
Zn 0.5000 0.0000 0.0000  2 Ba 3.32
Ba 0.0000 0.0000 0.0000  6 Zn 3.32
Cl 0.5000 0.5000 0.5000  12 Zn 4.70



A plane-wave DFT calculation with PBE-GGA was carried out for a relaxed RbP3F crystal.

## Properties
- DOS at the Fermi energy: 2.773 states/eV/f.u.
- Total magnetic moment: 0.000 μB per cell
- Energy relative to the elements, uncorrected: 618.2 meV per atom
- Symmetry: Pm-3m

abc: 4.6890 4.6890 4.6890
angles: 90.00 90.00 90.00
Closest atoms and distances in Å follow each position.
Sites, in units of the cell vectors:
P 0.0000 0.5000 0.0000  2 F 2.34
P 0.5000 0.0000 0.0000  2 F 2.34
P 0.0000 0.0000 0.5000  2 F 2.34
Rb 0.5000 0.5000 0.5000  12 P 3.32
F 0.0000 0.0000 0.0000  6 P 2.34